DFT (PBE) results for a geometry-optimized KLiZn2 structure.

Lattice parameters (Å, degrees): 3.427 3.427 8.425 90.00 90.00 90.00
Element x y z (fractional)
K1 0.000 0.000 0.469
Li1 0.500 0.500 0.843
Zn1 0.000 0.000 0.021
Zn2 0.500 0.500 0.167

Results
energy = -1.2949 eV/atom
calculated density = 2968 kg/m3
total magnetic moment = 0.000 μB/atom
space group = P4mm (99)
calculated volume = 98.93 Å³/f.u.
DFT formation energy = 0.09 eV/atom

=====

DFT (PBE) results for a geometry-optimized KLiZn2 structure.

Lattice parameters (Å, degrees): 4.492 4.492 6.726 70.56 70.56 59.92
Element x y z (fractional)
K1 0.494 0.494 0.519
Li1 0.312 0.312 0.065
Zn1 0.011 0.011 0.967
Zn2 0.683 0.683 0.950

Results
energy = -1.4254 eV/atom
calculated density = 2708 kg/m3
total magnetic moment = 0.000 μB/atom
space group = Cm (8)
calculated volume = 108.43 Å³/f.u.
DFT formation energy = -0.04 eV/atom

=====

DFT (PBE) results for a geometry-optimized KLiZn2 structure.

Lattice parameters (Å, degrees): 5.585 5.585 5.585 128.86 128.86 75.24
Element x y z (fractional)
K1 0.250 0.750 0.500
Li1 0.750 0.250 0.500
Zn1 0.000 0.000 0.000
Zn2 0.500 0.500 0.000

Results
energy = -1.1790 eV/atom
calculated density = 2856 kg/m3
total magnetic moment = 0.000 μB/atom
space group = I4/mmm (139)
calculated volume = 102.83 Å³/f.u.
DFT formation energy = 0.21 eV/atom

=====

DFT (PBE) results for a geometry-optimized KLi3Zn structure.

Lattice parameters (Å, degrees): 5.590 5.590 5.590 90.00 90.00 90.00
Element x y z (fractional)
Zn1 0.500 0.500 0.500
K1 0.000 0.000 0.000
Li1 0.000 0.500 0.000
Li2 0.000 0.000 0.500
Li3 0.500 0.000 0.000

Results
energy = -0.8289 eV/atom
calculated density = 1191 kg/m3
total magnetic moment = 0.000 μB/atom
space group = Pm-3m (221)
calculated volume = 174.70 Å³/f.u.
DFT formation energy = 0.79 eV/atom

=====

DFT (PBE) results for a geometry-optimized KLiZr structure.

Lattice parameters (Å, degrees): 9.853 9.634 3.171 84.56 76.76 18.69
Element x y z (fractional)
K1 0.001 0.001 0.999
Li1 0.318 0.318 0.682
Zr1 0.681 0.681 0.319

Results
energy = -3.2873 eV/atom
calculated density = 2639 kg/m3
total magnetic moment = 0.000 μB/atom
space group = Fmm2 (42)
calculated volume = 86.38 Å³/f.u.
DFT formation energy = 0.57 eV/atom

=====

DFT (PBE) results for a geometry-optimized KLiZr structure.

Lattice parameters (Å, degrees): 8.896 8.896 8.896 159.66 159.29 29.19
Site moments in Bohr magnetons follow the coordinates.
Element x y z (fractional)
K1 0.997 0.997 0.000  0.00
Li1 0.314 0.314 0.000  0.01
Zr1 0.689 0.689 0.000  0.10

Results
energy = -3.2427 eV/atom
calculated density = 2635 kg/m3
total magnetic moment = 0.062 μB/atom
space group = Imm2 (44)
calculated volume = 86.49 Å³/f.u.
DFT formation energy = 0.61 eV/atom

=====

DFT (PBE) results for a geometry-optimized KLi2Zr structure.

Lattice parameters (Å, degrees): 6.939 6.939 6.939 155.40 129.88 56.60
Element x y z (fractional)
K1 0.231 0.731 0.500
Li1 0.972 0.972 0.000
Li2 0.770 0.270 0.500
Zr1 0.527 0.527 0.000

Results
energy = -2.8061 eV/atom
calculated density = 2255 kg/m3
total magnetic moment = 0.001 μB/atom
space group = Imm2 (44)
calculated volume = 106.18 Å³/f.u.
DFT formation energy = 0.56 eV/atom

=====

DFT (PBE) results for a geometry-optimized KLiZr4 structure.

Lattice parameters (Å, degrees): 6.126 6.126 6.126 60.00 60.00 60.00
Element x y z (fractional)
K1 0.750 0.750 0.750
Li1 0.000 0.000 0.000
Zr1 0.882 0.373 0.373
Zr2 0.373 0.373 0.882
Zr3 0.373 0.882 0.373
Zr4 0.373 0.373 0.373

Results
energy = -5.4117 eV/atom
calculated density = 4198 kg/m3
total magnetic moment = 0.000 μB/atom
space group = F-43m (216)
calculated volume = 162.56 Å³/f.u.
DFT formation energy = 0.79 eV/atom